# Rb2Hg3Cl8

Crystalline Rb2Hg3Cl8 at its relaxed geometry (PBE, Alexandria).

Structure (POSCAR):
```
Rb2Hg3Cl8
1.0
6.220 0.000 0.025
0.000 10.431 0.000
-2.426 -5.216 7.231
Hg Cl Rb
3 8 2
Cartesian
0.000 3.242 0.000 Hg
0.000 7.189 0.000 Hg
3.110 0.000 0.013 Hg
2.082 2.806 5.731 Cl
4.500 0.000 1.901 Cl
2.082 -2.806 5.731 Cl
5.219 5.216 1.583 Cl
1.712 2.410 1.525 Cl
-0.706 5.216 5.356 Cl
1.712 8.022 1.525 Cl
-1.425 0.000 5.674 Cl
1.509 0.000 3.972 Rb
2.285 5.216 3.285 Rb
```

Values from the calculation:
- Volume: 470 Å³/f.u.
- Symmetry: C2/m, No. 12
- Formation energy from raw total energies: -100.2 kJ per mole of atoms

# RbHgCl

Crystalline RbHgCl at its relaxed geometry (PBE, Alexandria).

Structure (POSCAR):
```
RbHgCl
1.0
-3.445 0.478 3.090
-2.473 -3.235 -2.250
9.108 -5.734 5.644
Cl Hg Rb
2 2 2
Cartesian
-0.798 -1.842 1.136 Cl
3.988 -6.649 5.349 Cl
3.224 -3.896 3.295 Hg
-0.034 -4.596 3.189 Hg
-3.737 -3.266 1.591 Rb
6.928 -5.225 4.894 Rb
```

Values from the calculation:
- Volume: 120 Å³/f.u.
- Symmetry: C2/m, No. 12
- Energy above the most stable polymorph in this dataset: 0.000 eV per atom
- Formation energy from raw total energies: -118.7 kJ per mole of atoms

# Rb6Hg2Cl

Crystalline Rb6Hg2Cl at its relaxed geometry (PBE, Alexandria).

Structure (POSCAR):
```
Rb6Hg2Cl
1.0
8.420 0.000 -0.143
0.000 9.963 0.000
0.134 0.000 12.269
Hg Rb Cl
4 12 2
Cartesian
0.538 6.157 9.114 Hg
4.682 8.788 2.908 Hg
3.873 1.176 9.217 Hg
8.016 3.806 3.012 Hg
3.071 8.035 11.509 Rb
1.091 0.296 3.022 Rb
7.215 6.910 5.303 Rb
3.186 5.278 3.041 Rb
5.704 1.671 5.318 Rb
5.483 1.928 0.617 Rb
1.561 3.310 11.524 Rb
6.994 6.653 0.602 Rb
5.368 4.686 9.085 Rb
1.340 3.053 6.823 Rb
7.464 9.667 9.104 Rb
2.850 8.292 6.808 Rb
0.067 0.000 6.134 Cl
4.210 4.982 -0.072 Cl
```

Values from the calculation:
- Volume: 515 Å³/f.u.
- Symmetry: P2_1/c, No. 14
- Formation energy from raw total energies: -48.0 kJ per mole of atoms

# RbHg2Cl

Crystalline RbHg2Cl at its relaxed geometry (PBE, Alexandria).

Structure (POSCAR):
```
RbHg2Cl
1.0
-2.517 -4.872 2.205
-5.544 0.203 2.041
-4.344 -2.687 -2.974
Cl Hg Rb
1 2 1
Cartesian
0.000 0.000 0.000 Cl
-9.304 -5.518 0.954 Hg
-3.101 -1.839 0.318 Hg
-6.203 -3.679 0.636 Rb
```

Values from the calculation:
- Volume: 146 Å³/f.u.
- Symmetry: Fm-3m, No. 225
- Energy above the most stable polymorph in this dataset: 0.071 eV per atom
- Formation energy from raw total energies: -65.6 kJ per mole of atoms

# RbHg2Cl5

Crystalline RbHg2Cl5 at its relaxed geometry (PBE, Alexandria).

Structure (POSCAR):
```
RbHg2Cl5
1.0
-1.072 -3.960 -2.404
6.732 -3.378 -2.140
3.434 -6.008 3.663
Cl Hg Rb
5 2 1
Cartesian
5.083 -4.693 0.762 Cl
3.677 -5.168 -2.532 Cl
1.982 -6.519 0.450 Cl
5.418 -8.178 1.651 Cl
7.113 -6.826 -1.331 Cl
6.254 -9.735 -0.858 Hg
2.841 -3.610 -0.022 Hg
0.000 0.000 0.000 Rb
```

Values from the calculation:
- Volume: 223 Å³/f.u.
- Symmetry: Immm, No. 71
- Energy above the most stable polymorph in this dataset: 0.065 eV per atom
- Formation energy from raw total energies: -80.8 kJ per mole of atoms

# RbHgRhCl6

Crystalline RbHgRhCl6 at its relaxed geometry (PBE, Alexandria).

Structure (POSCAR):
```
RbHgRhCl6
1.0
-1.705 -3.671 5.389
4.777 -3.048 3.649
0.551 5.810 4.133
Cl Rb Rh Hg
6 1 1 1
Cartesian
2.505 -1.344 5.376 Cl
-0.676 -0.581 4.727 Cl
1.753 0.586 2.762 Cl
0.990 0.713 7.420 Cl
-0.011 2.619 4.874 Cl
3.235 1.998 5.315 Cl
-1.154 2.139 9.521 Rb
1.299 0.665 5.079 Rh
2.323 -1.575 8.092 Hg
```

Values from the calculation:
- Volume: 281 Å³/f.u.
- Symmetry: P312, No. 149
- Formation energy from raw total energies: -88.8 kJ per mole of atoms

# Rb2HgRuCl6

Crystalline Rb2HgRuCl6 at its relaxed geometry (PBE, Alexandria).

Structure (POSCAR):
```
Rb2HgRuCl6
1.0
-3.191 3.880 5.614
-5.736 1.850 -4.518
-7.126 -1.537 2.099
Cl Hg Rb Ru
6 1 2 1
Cartesian
-6.930 4.449 0.857 Cl
-5.171 2.308 -2.246 Cl
-5.957 0.419 1.414 Cl
-10.883 1.885 5.442 Cl
-9.123 -0.256 2.338 Cl
-10.097 3.774 1.782 Cl
-4.463 2.865 0.548 Hg
-8.663 1.589 -0.932 Rb
-7.391 2.604 4.128 Rb
0.000 0.000 0.000 Ru
```

Values from the calculation:
- Volume: 305 Å³/f.u.
- Symmetry: P-1, No. 2
- Formation energy from raw total energies: -99.4 kJ per mole of atoms

# RbHgRuCl6

Crystalline RbHgRuCl6 at its relaxed geometry (PBE, Alexandria).

Structure (POSCAR):
```
RbHgRuCl6
1.0
-1.819 -6.389 1.496
0.012 -4.770 -4.859
6.755 -1.561 1.549
Cl Rb Ru Hg
6 1 1 1
Cartesian
2.936 -10.316 -0.679 Cl
3.483 -7.114 0.164 Cl
1.388 -6.085 -2.123 Cl
0.906 -9.230 -3.192 Cl
0.350 -8.447 0.024 Cl
3.974 -8.123 -2.998 Cl
6.755 -1.561 1.549 Rb
2.173 -8.219 -1.467 Ru
2.775 -4.500 -0.346 Hg
```

Values from the calculation:
- Volume: 285 Å³/f.u.
- Symmetry: P312, No. 149
- Formation energy from raw total energies: -84.1 kJ per mole of atoms

# RbHgS2Cl

Crystalline RbHgS2Cl at its relaxed geometry (PBE, Alexandria).

Structure (POSCAR):
```
RbHgS2Cl
1.0
-1.527 0.976 4.700
-3.600 -3.494 -0.444
3.758 -4.136 2.079
Rb Cl S Hg
1 1 2 1
Cartesian
-0.684 -3.328 3.168 Rb
1.879 -2.068 1.040 Cl
-0.763 0.488 2.350 S
-1.800 -1.747 -0.222 S
0.000 0.000 0.000 Hg
```

Values from the calculation:
- Volume: 151 Å³/f.u.
- Symmetry: P4/mmm, No. 123
- Energy above the most stable polymorph in this dataset: 0.000 eV per atom
- Formation energy from raw total energies: -25.1 kJ per mole of atoms

# RbHgSCl2

Crystalline RbHgSCl2 at its relaxed geometry (PBE, Alexandria).

Structure (POSCAR):
```
RbHgSCl2
1.0
6.311 0.000 0.000
0.000 6.311 0.000
0.000 0.000 6.802
Cl Hg S Rb
2 1 1 1
Cartesian
0.000 3.156 0.000 Cl
3.156 0.000 0.000 Cl
3.156 3.156 3.401 Hg
0.000 0.000 3.401 S
0.000 0.000 0.000 Rb
```

Values from the calculation:
- Volume: 271 Å³/f.u.
- Symmetry: P4/mmm, No. 123
- Energy above the most stable polymorph in this dataset: 0.752 eV per atom
- Formation energy from raw total energies: 9.1 kJ per mole of atoms

# RbHgS2Cl

Crystalline RbHgS2Cl at its relaxed geometry (PBE, Alexandria).

Structure (POSCAR):
```
RbHgS2Cl
1.0
-0.479 4.471 -5.118
4.818 -3.394 -3.416
-4.335 -3.492 -2.645
S Cl Hg Rb
2 1 1 1
Cartesian
-0.239 2.235 -2.559 S
2.409 -1.697 -1.708 S
-2.167 -1.746 -1.322 Cl
0.003 -1.208 -5.589 Hg
0.000 0.000 0.000 Rb
```

Values from the calculation:
- Volume: 286 Å³/f.u.
- Symmetry: P4/mmm, No. 123
- Energy above the most stable polymorph in this dataset: 0.782 eV per atom
- Formation energy from raw total energies: 50.4 kJ per mole of atoms

# RbHgSCl2

Crystalline RbHgSCl2 at its relaxed geometry (PBE, Alexandria).

Structure (POSCAR):
```
RbHgSCl2
1.0
-0.983 1.567 -5.215
-5.239 1.172 1.340
1.334 4.650 1.147
Cl S Rb Hg
2 1 1 1
Cartesian
-2.620 0.586 0.670 Cl
-0.491 0.784 -2.607 Cl
0.667 2.325 0.573 S
-2.444 3.695 -1.364 Rb
0.000 0.000 0.000 Hg
```

Values from the calculation:
- Volume: 152 Å³/f.u.
- Symmetry: P4/mmm, No. 123
- Energy above the most stable polymorph in this dataset: 0.000 eV per atom
- Formation energy from raw total energies: -63.4 kJ per mole of atoms